Computed, not measured: a relaxed structure of MgNb2Fe2 at the GGA-PBE level of DFT.

N(E_F), states/eV per cell: 8.57
M_tot, μB/atom: 0.000
Energy relative to the lowest polymorph listed for this composition, kJ per mole of atoms: 15.80
Mass density, g/cm3: 6.82
ΔE_f, meV/atom: 217.0

```
10
Lattice="7.419 0.000 0.000 0.000 7.419 0.000 0.000 0.000 2.849" Properties=species:S:1:pos:R:3 pbc="T T T"
Mg 0.000 0.000 0.000
Mg 3.709 3.709 0.000
Nb 1.099 2.611 0.000
Nb 2.611 6.320 0.000
Nb 4.808 1.099 0.000
Nb 6.320 4.808 0.000
Fe 1.092 4.801 1.425
Fe 2.618 1.092 1.425
Fe 4.801 6.327 1.425
Fe 6.327 2.618 1.425
```

Computed, not measured: a relaxed structure of Mg2Nb2Fe at the GGA-PBE level of DFT.

N(E_F), states/eV per cell: 7.83
M_tot, μB/atom: 0.545
Energy relative to the lowest polymorph listed for this composition, kJ per mole of atoms: 6.02
Mass density, g/cm3: 4.71
ΔE_f, meV/atom: 756.1

```
5
Lattice="-1.828 1.828 7.661 1.828 -1.828 7.661 1.828 1.828 -7.661" Properties=species:S:1:pos:R:3 pbc="T T T"
Mg 0.000 0.000 1.372
Mg 0.000 0.000 13.950
Nb 1.828 0.000 3.830
Nb 0.000 1.828 3.830
Fe 0.000 0.000 7.661
```

Computed, not measured: a relaxed structure of Mg6NbFe at the GGA-PBE level of DFT.

N(E_F), states/eV per cell: 5.20
M_tot, μB/atom: 0.178
Mass density, g/cm3: 3.13
ΔE_f, meV/atom: 197.1

```
8
Lattice="4.754 0.000 0.000 0.000 2.995 5.494 0.000 -2.995 5.494" Properties=species:S:1:pos:R:3 pbc="T T T"
Mg 0.000 0.000 0.000
Mg 0.000 -1.438 2.782
Mg 0.000 1.438 2.782
Mg 2.377 -1.452 6.569
Mg 2.377 1.452 6.569
Mg 2.377 0.000 9.251
Nb 2.377 0.000 4.012
Fe 0.000 0.000 5.274
```